{"formula": "LiFeMo3", "functional": "PBE", "state": "relaxed", "lattice_angstrom": [[4.4897, 0.0000, 0.0000], [0.0000, 4.4897, 0.0000], [0.0000, 0.0000, 4.4897]], "species": ["Li", "Fe", "Mo", "Mo", "Mo"], "fractional_positions": [[0.0000, 0.0000, 0.0000], [0.5000, 0.5000, 0.5000], [0.0000, 0.5000, 0.5000], [0.5000, 0.0000, 0.5000], [0.5000, 0.5000, 0.0000]], "space_group": "Pm-3m, No. 221", "formation_enthalpy_0k_ev_per_atom": 1.19, "magnetic_moment_mub_per_cell": 0.0, "de_polymorph_mev_per_atom": 0.0}